The following is a PBE-GGA calculation of PuTi2V after structural relaxation, from the Alexandria database.

For the formation energy, the calculation gives 0.139 eV/atom. For the density of states at the Fermi level, the calculation gives 2.089 states/eV per atom. Its volume is 71.7 Å³/f.u. As for the uncorrected energy: -9.671 eV/atom. The total magnetization comes out at 5.63 Bohr magnetons per cell.

The space group is P4/mmm (No. 123) and the conventional cell measures 3.1446, 3.1446 and 7.2528 Å, with angles of 90.00, 90.00 and 90.00 degrees. The distinct sites, in fractional coordinates, are Pu at (0.0000, 0.0000, 0.0000), Ti at (0.5000, 0.5000, 0.2956) and V at (0.0000, 0.0000, 0.5000).